No. 1
Entry from the Alexandria database: a relaxed structure of Ca2CrTe (GGA-PBE).

a = 4.486 Å, b = 4.359 Å, c = 6.342 Å
α = 69.91°, β = 90.00°, γ = 90.00°
Element x y z (fractional)
Ca  0.000  0.976  0.924
Ca  0.500  0.270  0.334
Te  0.500  0.553  0.771
Cr  0.000  0.701  0.471

calculated density: 3.70 Mg/m³
space group: Pm
E: -18.19 eV per cell
E_form (uncorrected): -0.36 eV per atom
V: 116.5 Å³ per cell



No. 2
Entry from the Alexandria database: a relaxed structure of YMgCd (GGA-PBE).

a = 3.464 Å, b = 5.074 Å, c = 8.702 Å
α = 90.00°, β = 90.00°, γ = 90.00°
Element x y z (fractional)
Mg  0.811  0.216  0.316
Mg  0.812  0.716  0.477
Y  0.312  0.216  0.661
Y  0.312  0.716  0.132
Cd  0.812  0.216  0.986
Cd  0.812  0.716  0.807

formation energy: -0.220 eV per atom
calculated density: 4.90 Mg/m³
space group: Pmma
E: -19.27 eV per cell
V: 153.0 Å³ per cell



What is the calculated density in the first record?
3.70 Mg/m³